1.
! CaCl | the Alexandria database | PBE | relaxed; values from VASP
&SYSTEM
  ibrav = 0, nat = 4, ntyp = 2
/
ATOMIC_SPECIES
Cl 35.45 Cl.upf
Ca 40.08 Ca.upf
CELL_PARAMETERS angstrom
-3.379 -0.053 -2.240
-0.137 -1.096 3.901
-1.802 9.139 2.504
ATOMIC_POSITIONS crystal
Cl 0.667 0.333 0.811
Cl 0.000 0.000 0.439
Ca 0.000 0.000 0.960
Ca 0.667 0.333 0.290
! Symmetry: P-3m1
! E_form (uncorrected) in eV/atom: -1.696



2.
! Ca4Cl5 | the Alexandria database | PBE | relaxed; values from VASP
&SYSTEM
  ibrav = 0, nat = 9, ntyp = 2
/
ATOMIC_SPECIES
Cl 35.45 Cl.upf
Ca 40.08 Ca.upf
CELL_PARAMETERS angstrom
-4.647 4.647 2.956
4.647 -4.647 2.956
4.647 4.647 -2.956
ATOMIC_POSITIONS crystal
Cl 0.000 0.000 0.000
Cl 0.301 0.699 0.000
Cl 0.699 0.699 0.398
Cl 0.699 0.301 0.000
Cl 0.301 0.301 0.602
Ca 0.699 0.000 0.699
Ca 0.000 0.699 0.699
Ca 0.000 0.301 0.301
Ca 0.301 0.000 0.301
! Symmetry: I4/mmm
! E_form (uncorrected) in eV/atom: -1.756



3.
! CaCl5 | the Alexandria database | PBE | relaxed; values from VASP
&SYSTEM
  ibrav = 0, nat = 6, ntyp = 2
/
ATOMIC_SPECIES
Cl 35.45 Cl.upf
Ca 40.08 Ca.upf
CELL_PARAMETERS angstrom
1.969 -5.932 0.000
1.969 5.932 0.000
0.000 0.000 7.524
ATOMIC_POSITIONS crystal
Cl 0.790 0.210 0.500
Cl 0.630 0.370 0.000
Cl 0.457 0.543 0.500
Cl 0.127 0.873 0.500
Cl 0.343 0.657 0.000
Ca 0.986 0.014 0.000
! Symmetry: Amm2
! Distance to the lowest polymorph of the same formula in meV per atom: 244.0
! E_form (uncorrected) in eV/atom: -0.800



4.
! CaCl | the Alexandria database | PBE | relaxed; values from VASP
&SYSTEM
  ibrav = 0, nat = 8, ntyp = 2
/
ATOMIC_SPECIES
Cl 35.45 Cl.upf
Ca 40.08 Ca.upf
CELL_PARAMETERS angstrom
-2.184 -0.708 5.370
-4.282 -3.321 -2.179
3.318 -4.752 0.723
ATOMIC_POSITIONS crystal
Cl 0.500 0.000 0.500
Cl 0.000 0.500 0.500
Cl 0.000 0.000 0.000
Cl 0.500 0.500 0.000
Ca 0.000 0.500 0.000
Ca 0.000 0.000 0.500
Ca 0.500 0.500 0.500
Ca 0.500 0.000 0.000
! Symmetry: Fm-3m
! E_form (uncorrected) in eV/atom: -1.399



5.
! CaCl | the Alexandria database | PBE | relaxed; values from VASP
&SYSTEM
  ibrav = 0, nat = 6, ntyp = 2
/
ATOMIC_SPECIES
Ca 40.08 Ca.upf
Cl 35.45 Cl.upf
CELL_PARAMETERS angstrom
1.879 6.882 -0.067
-1.879 6.882 -0.067
0.000 6.095 7.623
ATOMIC_POSITIONS crystal
Ca 0.071 0.071 0.910
Ca 0.272 0.272 0.133
Ca 0.408 0.408 0.374
Cl 0.671 0.671 0.028
Cl 0.031 0.031 0.429
Cl 0.714 0.714 0.626
! Symmetry: Cm
! E_form (uncorrected) in eV/atom: -1.589



6.
! CaCl3 | the Alexandria database | PBE | relaxed; values from VASP
&SYSTEM
  ibrav = 0, nat = 8, ntyp = 2
/
ATOMIC_SPECIES
Cl 35.45 Cl.upf
Ca 40.08 Ca.upf
CELL_PARAMETERS angstrom
-1.960 2.773 2.302
-4.409 -2.852 -0.319
3.720 -4.243 8.279
ATOMIC_POSITIONS crystal
Cl 0.250 0.078 0.813
Cl 0.250 0.240 0.462
Cl 0.750 0.922 0.187
Cl 0.750 0.760 0.538
Cl 0.250 0.580 0.813
Cl 0.750 0.420 0.187
Ca 0.250 0.710 0.341
Ca 0.750 0.290 0.659
! Symmetry: P2_1/m
! E_form (uncorrected) in eV/atom: -1.721



7.
! CaCl | the Alexandria database | PBE | relaxed; values from VASP
&SYSTEM
  ibrav = 0, nat = 4, ntyp = 2
/
ATOMIC_SPECIES
Ca 40.08 Ca.upf
Cl 35.45 Cl.upf
CELL_PARAMETERS angstrom
-1.983 -3.537 0.520
3.057 -1.308 2.764
-5.244 4.077 7.726
ATOMIC_POSITIONS crystal
Ca 0.000 0.000 0.006
Ca 0.000 0.500 0.327
Cl 0.500 0.500 0.486
Cl 0.500 0.000 0.847
! Symmetry: Pmma
! E_form (uncorrected) in eV/atom: -1.457



8.
! Ca4Cl3 | the Alexandria database | PBE | relaxed; values from VASP
&SYSTEM
  ibrav = 0, nat = 7, ntyp = 2
/
ATOMIC_SPECIES
Ca 40.08 Ca.upf
Cl 35.45 Cl.upf
CELL_PARAMETERS angstrom
4.350 -14.675 2.896
3.892 -12.913 7.795
-6.628 13.057 -5.315
ATOMIC_POSITIONS crystal
Ca 0.839 0.839 0.000
Ca 0.161 0.161 0.000
Ca 0.432 0.432 0.000
Ca 0.568 0.568 0.000
Cl 0.701 0.701 0.000
Cl 0.000 0.000 0.000
Cl 0.299 0.299 0.000
! Symmetry: I4/mmm
! E_form (uncorrected) in eV/atom: -1.326